Arrangement P

Entry from Alexandria via LeMat-Bulk: a relaxed BaYNi2 crystal (PBEsol).

Cell lengths 4.9355, 4.9426, 4.9426 Å; angles 60.11, 60.05, 60.05 degrees
Element x y z (fractional)
Ba 0.5000 0.0000 0.0000
Ni 0.2518 0.7482 0.7482
Ni 0.7482 0.2518 0.2518
Y 0.0000 0.5000 0.5000

## Properties
Mass density: 6.68 g/cm³
Total magnetic moment: 0.00 μB per cell
N(E_F): 0.545 states/eV/atom


Arrangement Q

Entry from Alexandria via LeMat-Bulk: a relaxed BaYNi2 crystal (PBEsol).

Cell lengths 3.5011, 3.5011, 7.1139 Å; angles 90.00, 90.00, 90.00 degrees
Element x y z (fractional)
Ba 0.5000 0.5000 0.5000
Ni 0.0000 0.0000 0.8139
Ni 0.0000 0.0000 0.1861
Y 0.5000 0.5000 0.0000

## Properties
Mass density: 6.54 g/cm³
Total magnetic moment: 0.00 μB per cell
N(E_F): 0.548 states/eV/atom


arrangement Q ends up most stable, edging out the next structure by 0.202 eV/atom.


Arrangement P

Entry from Alexandria via LeMat-Bulk: a relaxed BaYNi2 crystal (PBEsol).

Cell lengths 3.9481, 3.9632, 6.5047 Å; angles 90.00, 107.67, 90.00 degrees
Element x y z (fractional)
Ba 0.7772 0.5000 0.5544
Ni 0.0559 0.5000 0.1118
Ni 0.1570 0.0000 0.3140
Y 0.5099 0.0000 0.0199

## Properties
Mass density: 5.88 g/cm³
Total magnetic moment: 0.00 μB per cell
N(E_F): 0.694 states/eV/atom


Arrangement Q

Entry from Alexandria via LeMat-Bulk: a relaxed BaYNi2 crystal (PBEsol).

Cell lengths 4.0578, 4.0578, 5.7710 Å; angles 90.00, 90.00, 90.00 degrees
Element x y z (fractional)
Ba 0.5000 0.5000 0.8740
Ni 0.0000 0.0000 0.8769
Ni 0.5000 0.5000 0.3735
Y 0.0000 0.0000 0.3757

## Properties
Mass density: 6.00 g/cm³
Total magnetic moment: 0.00 μB per cell
N(E_F): 0.489 states/eV/atom


arrangement P ends up most stable, edging out the next structure by 0.315 eV/atom.


Arrangement P

Entry from Alexandria via LeMat-Bulk: a relaxed BaY2Ni crystal (PBEsol).

Cell lengths 3.8767, 5.2823, 5.3201 Å; angles 90.00, 90.00, 90.00 degrees
Element x y z (fractional)
Ba 0.5000 0.0000 0.5000
Ni 0.0000 0.5000 0.5000
Y 0.0000 0.0000 0.0000
Y 0.5000 0.5000 0.0000

## Properties
Mass density: 5.70 g/cm³
Total magnetic moment: 0.00 μB per cell
N(E_F): 1.097 states/eV/atom


Arrangement Q

Entry from Alexandria via LeMat-Bulk: a relaxed BaY2Ni crystal (PBEsol).

Cell lengths 3.5620, 5.8419, 6.6059 Å; angles 116.24, 105.64, 90.00 degrees
Element x y z (fractional)
Ba 0.0000 0.5000 0.0000
Ni 0.5000 0.0000 0.0000
Y 0.8186 0.8186 0.6372
Y 0.1814 0.1814 0.3628

## Properties
Mass density: 5.28 g/cm³
Total magnetic moment: 0.00 μB per cell
N(E_F): 1.148 states/eV/atom


arrangement Q ends up most stable, edging out the next structure by 0.356 eV/atom.


Arrangement P

Entry from Alexandria via LeMat-Bulk: a relaxed Ba3SrTa2O9 crystal (PBEsol).

Cell lengths 5.9970, 5.9970, 15.8790 Å; angles 90.00, 90.00, 120.00 degrees
Element x y z (fractional)
Ba 0.0000 0.0000 0.2500
Ba 0.0000 0.0000 0.7500
Ba 0.3333 0.6667 0.6245
Ba 0.6667 0.3333 0.1245
Ba 0.6667 0.3333 0.3755
Ba 0.3333 0.6667 0.8755
Sr 0.0000 0.0000 0.5000
Sr 0.0000 0.0000 0.0000
Ta 0.3333 0.6667 0.3432
Ta 0.6667 0.3333 0.8432
Ta 0.6667 0.3333 0.6568
Ta 0.3333 0.6667 0.1568
O 0.0342 0.5171 0.2500
O 0.5171 0.4829 0.7500
O 0.5171 0.0342 0.7500
O 0.4829 0.9658 0.2500
O 0.4829 0.5171 0.2500
O 0.9658 0.4829 0.7500
O 0.6564 0.8282 0.1025
O 0.8282 0.1718 0.6025
O 0.8282 0.6564 0.6025
O 0.1718 0.3436 0.1025
O 0.1718 0.8282 0.1025
O 0.3436 0.1718 0.8975
O 0.8282 0.1718 0.8975
O 0.3436 0.1718 0.6025
O 0.8282 0.6564 0.8975
O 0.1718 0.3436 0.3975
O 0.6564 0.8282 0.3975
O 0.1718 0.8282 0.3975

## Properties
Mass density: 6.75 g/cm³
Total magnetic moment: 0.00 μB per cell
N(E_F): 0.000 states/eV/atom


Arrangement Q

Entry from Alexandria via LeMat-Bulk: a relaxed Ba3SrTa2O9 crystal (PBEsol).

Cell lengths 5.9422, 5.9422, 7.5706 Å; angles 90.00, 90.00, 120.00 degrees
Element x y z (fractional)
Ba 0.6667 0.3333 0.3093
Ba 0.0000 0.0000 0.0000
Ba 0.3333 0.6667 0.6907
Sr 0.0000 0.0000 0.5000
Ta 0.6667 0.3333 0.8360
Ta 0.3333 0.6667 0.1640
O 0.5000 0.0000 0.0000
O 0.0000 0.5000 0.0000
O 0.5000 0.5000 0.0000
O 0.1771 0.3543 0.2997
O 0.1771 0.8229 0.2997
O 0.6457 0.8229 0.2997
O 0.8229 0.6457 0.7003
O 0.8229 0.1771 0.7003
O 0.3543 0.1771 0.7003

## Properties
Mass density: 7.21 g/cm³
Total magnetic moment: 0.00 μB per cell
N(E_F): 0.000 states/eV/atom


arrangement Q ends up most stable, edging out the next structure by 0.013 eV/atom.